# 1
NdAl4Pd2 | GGA-PBE | optimized geometry

The formation energy is -0.691 eV/atom. As for the polymorph energy (0 for the lowest one): 0.060 eV per atom. The density of states at the Fermi level is 5.07 states/eV/cell. As for the volume: 18.253 A^3/atom.

It has space group P4_2/mnm (No. 136), with a = 7.868 Å, b = 7.868 Å, c = 4.128 Å, α = 90.00°, β = 90.00° and γ = 90.00°. The distinct sites, in fractional coordinates, are Nd at (0.000, 0.000, 0.000), Al at (0.083, 0.338, 0.500) and Pd at (0.220, 0.780, 0.500).

***

# 2
NdAl12Pd6 | GGA-PBE | optimized geometry

The formation energy is -0.619 eV/atom. The density of states at the Fermi level is 19.44 states/eV/cell. As for the volume: 17.260 A^3/atom.

It has space group R-3m (No. 166, hexagonal axes), with a = 11.3659 Å, b = 11.3659 Å, c = 8.7936 Å, α = 90.00°, β = 90.00° and γ = 120.00°. The distinct sites, in fractional coordinates, are Nd at (0.0000, 0.0000, 0.0000), Al at (0.0000, 0.3856, 0.5000), Al at (0.0842, 0.1684, 0.3184) and Pd at (0.0464, 0.5232, 0.2438).

***

# 3
NdAl3Pd2 | GGA-PBE | optimized geometry

The formation energy is -0.786 eV/atom. As for the polymorph energy (0 for the lowest one): 0.057 eV per atom. The density of states at the Fermi level is 10.86 states/eV/cell. As for the volume: 18.847 A^3/atom.

It has space group Cmcm (No. 63), with a = 10.099 Å, b = 8.169 Å, c = 5.482 Å, α = 90.00°, β = 90.00° and γ = 90.00°. The distinct sites, in fractional coordinates, are Nd at (0.000, 0.159, 0.250), Al at (0.000, 0.448, 0.750), Al at (0.183, 0.220, 0.750) and Pd at (0.210, 0.500, 0.000).

***

# 4
NdAlPd4 | GGA-PBE | optimized geometry

The formation energy is -0.603 eV/atom. As for the polymorph energy (0 for the lowest one): 0.151 eV per atom. The density of states at the Fermi level is 13.01 states/eV/cell. As for the volume: 18.320 A^3/atom.

It has space group F-43m (No. 216), with a = 7.604 Å, b = 7.604 Å, c = 7.604 Å, α = 90.00°, β = 90.00° and γ = 90.00°. The distinct sites, in fractional coordinates, are Nd at (0.000, 0.000, 0.000), Al at (0.250, 0.250, 0.750) and Pd at (0.124, 0.124, 0.376).

***

# 5
NdAlPd2 | GGA-PBE | optimized geometry

The formation energy is -0.874 eV/atom. The density of states at the Fermi level is 8.09 states/eV/cell. As for the volume: 19.620 A^3/atom.

It has space group Pnma (No. 62), with a = 7.509 Å, b = 7.119 Å, c = 5.872 Å, α = 90.00°, β = 90.00° and γ = 90.00°. The distinct sites, in fractional coordinates, are Nd at (0.031, 0.250, 0.152), Al at (0.118, 0.750, 0.349) and Pd at (0.178, 0.053, 0.588).

***

# 6
Nd2Al9Pd3 | GGA-PBE | optimized geometry

The formation energy is -0.693 eV/atom. The density of states at the Fermi level is 19.39 states/eV/cell. As for the volume: 17.810 A^3/atom.

It has space group C2/c (No. 15), with a = 13.425 Å, b = 7.718 Å, c = 10.606 Å, α = 90.00°, β = 114.83° and γ = 90.00°. The distinct sites, in fractional coordinates, are Nd at (0.169, 0.084, 0.250), Al at (0.000, 0.376, 0.250), Al at (0.060, 0.086, 0.928), Al at (0.101, 0.416, 0.054), Al at (0.102, 0.316, 0.748), Al at (0.224, 0.418, 0.429), Pd at (0.085, 0.244, 0.500) and Pd at (0.250, 0.250, 0.000).